The following is a DFT calculation (GGA-PBE) of crystalline Ta6Ni16Ge7 at its relaxed geometry.

Lattice parameters (Å, degrees): 8.0927 8.0927 8.0927 60.00 60.00 60.00
Fractional coordinates of all 29 atoms:
Ni (0.8344, 0.8344, 0.8344)
Ta (0.2011, 0.7989, 0.2011)
Ge (0.0000, 0.5000, 0.0000)
Ge (0.0000, 0.0000, 0.5000)
Ni (0.8344, 0.8344, 0.4967)
Ni (0.1484, 0.6172, 0.6172)
Ni (0.6172, 0.1484, 0.6172)
Ni (0.8344, 0.4967, 0.8344)
Ge (0.5000, 0.5000, 0.0000)
Ge (0.5000, 0.5000, 0.5000)
Ni (0.4967, 0.8344, 0.8344)
Ni (0.1656, 0.1656, 0.1656)
Ni (0.5033, 0.1656, 0.1656)
Ni (0.6172, 0.6172, 0.6172)
Ni (0.8516, 0.3828, 0.3828)
Ta (0.2011, 0.7989, 0.7989)
Ni (0.3828, 0.8516, 0.3828)
Ni (0.3828, 0.3828, 0.3828)
Ta (0.7989, 0.2011, 0.2011)
Ni (0.3828, 0.3828, 0.8516)
Ta (0.7989, 0.2011, 0.7989)
Ta (0.7989, 0.7989, 0.2011)
Ta (0.2011, 0.2011, 0.7989)
Ni (0.6172, 0.6172, 0.1484)
Ge (0.5000, 0.0000, 0.5000)
Ge (0.0000, 0.5000, 0.5000)
Ni (0.1656, 0.1656, 0.5033)
Ni (0.1656, 0.5033, 0.1656)
Ge (0.5000, 0.0000, 0.0000)

Density, Mg/m³: 11.22
Energy, eV per atom: -7.1280

=====

The following is a DFT calculation (GGA-PBE) of crystalline Mg2BeI6 at its relaxed geometry.

Lattice parameters (Å, degrees): 7.4827 11.0315 11.0315 91.02 71.73 71.73
Fractional coordinates of all 18 atoms:
I (0.5416, 0.0440, 0.7779)
I (0.8538, 0.7957, 0.4074)
I (0.1462, 0.2043, 0.5926)
I (0.9584, 0.2221, 0.9560)
I (0.7649, 0.2169, 0.3735)
I (0.6462, 0.5926, 0.2043)
Mg (0.9268, 0.3514, 0.1835)
Be (0.2500, 0.2225, 0.7775)
I (0.7351, 0.6265, 0.7831)
Mg (0.4268, 0.1835, 0.3514)
Be (0.7500, 0.7775, 0.2225)
I (0.2649, 0.3735, 0.2169)
I (0.3538, 0.4074, 0.7957)
Mg (0.5732, 0.8165, 0.6486)
I (0.0416, 0.7779, 0.0440)
Mg (0.0732, 0.6486, 0.8165)
I (0.2351, 0.7831, 0.6265)
I (0.4584, 0.9560, 0.2221)

Density, Mg/m³: 3.34
Energy, eV per atom: -2.6430

=====

The following is a DFT calculation (GGA-PBE) of crystalline PrDyZnAg at its relaxed geometry.

Lattice parameters (Å, degrees): 3.6655 3.6655 7.3783 90.00 90.00 90.00
Fractional coordinates of all 4 atoms:
Ag (0.5000, 0.5000, 0.1300)
Dy (0.0000, 0.0000, 0.3628)
Pr (0.0000, 0.0000, 0.8466)
Zn (0.5000, 0.5000, 0.5886)

Density, Mg/m³: 7.98
Energy above the lowest structure with this stoichiometry, meV/atom: 0
Energy, eV per atom: -3.6836

=====

The following is a DFT calculation (GGA-PBE) of crystalline Ti4FeN at its relaxed geometry.

Lattice parameters (Å, degrees): 6.1319 6.1319 6.1319 107.48 107.48 113.54
Fractional coordinates of all 12 atoms:
Ti (0.2778, 0.5793, 0.3016)
Ti (0.7661, 0.9712, 0.7949)
N (0.5105, 0.0105, 0.5000)
Ti (0.7212, 0.4262, 0.7051)
N (0.7605, 0.7605, 0.0000)
Ti (0.2778, 0.9762, 0.6984)
Fe (0.9916, 0.4916, 0.5000)
Ti (0.7262, 0.5278, 0.1984)
Ti (0.7212, 0.0161, 0.2949)
Fe (0.2416, 0.2416, 0.0000)
Ti (0.3293, 0.5278, 0.8016)
Ti (0.1762, 0.9712, 0.2051)

Density, Mg/m³: 4.91
Energy, eV per atom: -8.5172

=====

The following is a DFT calculation (GGA-PBE) of crystalline Tb2PrSbO8 at its relaxed geometry.

Lattice parameters (Å, degrees): 4.1756 5.2704 7.4276 90.00 90.00 93.86
Site moments in Bohr magnetons follow the coordinates.
Fractional coordinates of all 12 atoms:
O (0.9494, 0.2458, 0.7893)  0.12
O (0.0506, 0.7542, 0.7893)  0.12
O (0.4954, 0.2585, 0.5000)  0.26
O (0.5046, 0.7415, 0.5000)  0.26
Tb (0.5000, 0.5000, 0.2429)  -0.01
Pr (0.0000, 0.0000, 0.5000)  -0.01
O (0.5777, 0.7912, 0.0000)  0.34
O (0.0506, 0.7542, 0.2107)  0.12
Sb (0.0000, 0.0000, 0.0000)  -0.02
O (0.4223, 0.2088, 0.0000)  0.34
Tb (0.5000, 0.5000, 0.7571)  -0.01
O (0.9494, 0.2458, 0.2107)  0.12

Density, Mg/m³: 7.21
Energy, eV per atom: -7.2575

=====

The following is a DFT calculation (GGA-PBE) of crystalline LiTaSi2 at its relaxed geometry.

Lattice parameters (Å, degrees): 4.6176 4.6176 5.1232 78.75 78.75 35.78
Fractional coordinates of all 4 atoms:
Ta (0.7500, 0.7500, 0.7500)
Si (0.0012, 0.0012, 0.9766)
Si (0.4988, 0.4988, 0.5234)
Li (0.2500, 0.2500, 0.2500)

Density, Mg/m³: 6.48
Energy above the lowest structure with this stoichiometry, meV/atom: 251
Energy, eV per atom: -6.1368

=====

- Among the records above, which one has the highest energy?
  Mg2BeI6